No. 1
Th2InBRh6 | the Alexandria database | GGA-PBE | relaxed; symmetry = Pmmn; DFT formation energy = -61.7 kJ/mol of atoms
1.0
5.754 0.000 0.000
0.000 7.523 0.000
0.000 0.000 8.614
Rh Th B In
12 4 2 2
direct
0.500 0.135 0.740 Rh
0.758 0.978 0.500 Rh
0.000 0.865 0.240 Rh
0.000 0.865 0.760 Rh
0.742 0.377 0.500 Rh
0.742 0.022 0.000 Rh
0.258 0.022 0.000 Rh
0.242 0.623 0.000 Rh
0.758 0.623 0.000 Rh
0.500 0.135 0.260 Rh
0.242 0.978 0.500 Rh
0.258 0.377 0.500 Rh
0.500 0.742 0.263 Th
0.500 0.742 0.737 Th
0.000 0.258 0.763 Th
0.000 0.258 0.237 Th
0.000 0.829 0.000 B
0.500 0.171 0.500 B
0.500 0.336 0.000 In
0.000 0.664 0.500 In

***

No. 2
PaTl2ReO6 | the Alexandria database | GGA-PBE | relaxed; symmetry = Fm-3m; formation energy from raw total energies = -1949 meV/atom
1.0
5.951 0.000 0.000
0.000 5.952 0.000
0.000 0.000 8.415
O Tl Pa Re
12 4 2 2
direct
0.000 0.750 0.764 O
0.736 0.485 0.500 O
0.736 0.014 0.500 O
0.500 0.250 0.264 O
0.236 0.515 0.000 O
0.264 0.485 0.500 O
0.264 0.014 0.500 O
0.764 0.986 0.000 O
0.764 0.515 0.000 O
0.500 0.250 0.736 O
0.000 0.750 0.236 O
0.236 0.986 0.000 O
0.500 0.750 0.250 Tl
0.000 0.250 0.750 Tl
0.500 0.750 0.750 Tl
0.000 0.250 0.250 Tl
0.500 0.250 0.000 Pa
0.000 0.750 0.500 Pa
0.000 0.750 0.000 Re
0.500 0.250 0.500 Re

***

No. 3
Pm2SnSe | the Alexandria database | GGA-PBE | relaxed; symmetry = I4_1/amd; formation energy from raw total energies = -1306 meV/atom; distance to the lowest polymorph of the same formula = 0 meV per atom
1.0
-1.793 -4.723 3.550
-1.089 -3.382 -5.049
11.598 -4.181 0.295
Pm Sn Se
8 4 4
direct
0.750 0.000 0.370 Pm
0.250 0.000 0.120 Pm
0.250 0.500 0.870 Pm
0.750 0.500 0.620 Pm
0.250 0.000 0.630 Pm
0.750 0.500 0.130 Pm
0.750 0.000 0.880 Pm
0.250 0.500 0.380 Pm
0.250 0.500 0.125 Sn
0.750 0.000 0.625 Sn
0.250 0.000 0.375 Sn
0.750 0.500 0.875 Sn
0.250 0.000 0.875 Se
0.750 0.500 0.375 Se
0.750 0.000 0.125 Se
0.250 0.500 0.625 Se

***

No. 4
K5SnAs3 | the Alexandria database | GGA-PBE | relaxed; symmetry = P2_1/c; DFT formation energy = -43.1 kJ/mol of atoms; distance to the lowest polymorph of the same formula = 0 meV per atom
1.0
-4.620 -2.235 -6.681
5.538 -7.406 -1.352
-3.563 -15.785 7.746
As K Sn
12 20 4
direct
0.728 0.802 0.276 As
0.315 0.484 0.435 As
0.772 0.802 0.776 As
0.815 0.516 0.065 As
0.185 0.484 0.935 As
0.272 0.198 0.724 As
0.240 0.760 0.580 As
0.228 0.198 0.224 As
0.760 0.240 0.420 As
0.685 0.516 0.565 As
0.260 0.760 0.080 As
0.740 0.240 0.920 As
0.493 0.105 0.587 K
0.014 0.446 0.745 K
0.519 0.265 0.077 K
0.486 0.446 0.245 K
0.993 0.895 0.913 K
0.830 0.842 0.580 K
0.981 0.265 0.577 K
0.838 0.163 0.259 K
0.507 0.895 0.413 K
0.514 0.554 0.755 K
0.670 0.842 0.080 K
0.662 0.163 0.759 K
0.338 0.837 0.241 K
0.481 0.735 0.923 K
0.330 0.158 0.920 K
0.162 0.837 0.741 K
0.007 0.105 0.087 K
0.170 0.158 0.420 K
0.019 0.735 0.423 K
0.986 0.554 0.255 K
0.140 0.488 0.086 Sn
0.360 0.488 0.586 Sn
0.860 0.512 0.914 Sn
0.640 0.512 0.414 Sn

***

No. 5
LiTc2Cl | the Alexandria database | GGA-PBE | relaxed; symmetry = R3m; formation energy from raw total energies = -43 meV/atom; distance to the lowest polymorph of the same formula = 141 meV per atom
1.0
-1.027 6.559 5.187
-3.702 6.385 4.065
-2.962 4.714 6.324
Cl Tc Li
1 2 1
direct
0.493 0.493 0.493 Cl
0.250 0.250 0.250 Tc
0.996 0.996 0.996 Tc
0.761 0.761 0.761 Li

***

No. 6
Na2MnAgI6 | the Alexandria database | GGA-PBE | relaxed; symmetry = P1; formation energy from raw total energies = -643 meV/atom
1.0
-1.233 -8.044 0.262
5.836 -5.358 -0.172
2.451 -4.499 6.957
Na I Mn Ag
2 6 1 1
direct
0.005 0.025 0.979 Na
0.562 0.508 0.408 Na
0.412 0.691 0.766 I
0.096 0.461 0.727 I
0.680 0.108 0.796 I
0.602 0.169 0.296 I
0.001 0.546 0.225 I
0.235 0.976 0.229 I
0.306 0.341 0.985 Mn
0.763 0.837 0.604 Ag

***

No. 7
Ce5PmSe8 | the Alexandria database | GGA-PBE | relaxed; symmetry = I-4; formation energy from raw total energies = -1847 meV/atom
1.0
-6.089 2.211 4.198
-1.727 -6.462 -3.853
5.991 -1.309 4.688
Ce Se Pm
5 8 1
direct
0.749 0.625 0.625 Ce
0.375 0.124 0.000 Ce
0.876 0.876 0.251 Ce
0.500 0.000 0.500 Ce
0.000 0.375 0.124 Ce
0.624 0.900 0.874 Se
0.126 0.749 0.025 Se
0.624 0.402 0.874 Se
0.975 0.100 0.724 Se
0.473 0.598 0.223 Se
0.276 0.251 0.376 Se
0.777 0.250 0.376 Se
0.126 0.750 0.527 Se
0.250 0.500 0.750 Pm

***

No. 8
V4Te | the Alexandria database | GGA-PBE | relaxed; symmetry = Pm-3m; formation energy from raw total energies = 1485 meV/atom
1.0
-4.683 0.708 -0.767
-0.942 -1.350 4.507
0.449 4.549 1.457
V Te
4 1
direct
0.500 0.000 0.500 V
0.500 0.500 0.000 V
0.000 0.500 0.500 V
0.000 0.000 0.000 V
0.500 0.500 0.500 Te